(1)
This record from the Alexandria database describes a geometry-optimized Cr2NiGeF structure. The functional is PBE+U.

a b c (Å): 4.278 4.278 4.408
angles (deg): 90.00 90.00 90.00
Element x y z (fractional)
Cr: 0.000 0.500 0.000
Cr: 0.500 0.000 0.000
Ni: 0.000 0.000 0.500
Ge: 0.500 0.500 0.500
F: 0.000 0.000 0.000

Its total energy is -23.86 eV per cell.

(2)
This record from the Alexandria database describes a geometry-optimized CrGeOF2 structure. The functional is PBE+U.

a b c (Å): 4.274 4.274 3.796
angles (deg): 90.00 90.00 90.00
Element x y z (fractional)
Cr: 0.000 0.000 0.000
Ge: 0.500 0.500 0.500
O: 0.500 0.500 0.000
F: 0.000 0.500 0.500
F: 0.500 0.000 0.500

The calculation puts the energy relative to the lowest polymorph listed for this composition at 0.93 eV per formula unit.

| no. | spin magnetization (μB per formula unit) |
| --- | --- |
| 1 | 9.00 |
| 2 | 4.94 |